w | A relaxed LaNi4Pt crystal. Source: Alexandria via LeMat-Bulk, functional PBE.

The value obtained for the volume is 183 Å³ per cell. The calculation puts the total moment at 2.1 μB per cell.

The structure belongs to space group Cmmm (No. 65); the cell edges are 4.9486, 9.1314 and 4.0403 Å and the angles 90.00°, 90.00° and 90.00°. The asymmetric unit holds La at (0.0000, 0.0000, 0.0000), Ni at (0.0000, 0.3176, 0.0000), Ni at (0.2500, 0.2500, 0.5000) and Pt at (0.0000, 0.5000, 0.5000).

---

x | A relaxed LaNi4Pt crystal. Source: Alexandria via LeMat-Bulk, functional PBE.

The value obtained for the volume is 353 Å³ per cell. The calculation puts the total moment at 1.6 μB per cell.

The structure belongs to space group F-43m (No. 216); the cell edges are 7.0673, 7.0673 and 7.0673 Å and the angles 90.00°, 90.00° and 90.00°. The asymmetric unit holds La at (0.0000, 0.0000, 0.0000), Ni at (0.1233, 0.1233, 0.3767) and Pt at (0.2500, 0.2500, 0.7500).

---

The most stable of them is w.

---

w | A relaxed La3NiPt crystal. Source: Alexandria via LeMat-Bulk, functional PBE.

The value obtained for the volume is 148 Å³ per cell. The calculation puts the total moment at 0.0 μB per cell.

The structure belongs to space group Pm-3m (No. 221); the cell edges are 5.2871, 5.2871 and 5.2871 Å and the angles 90.00°, 90.00° and 90.00°. The asymmetric unit holds La at (0.0000, 0.0000, 0.5000), Ni at (0.0000, 0.0000, 0.0000) and Pt at (0.5000, 0.5000, 0.5000).

---

x | A relaxed La3NiPt crystal. Source: Alexandria via LeMat-Bulk, functional PBE.

The value obtained for the volume is 271 Å³ per cell. The calculation puts the total moment at 0.0 μB per cell.

The structure belongs to space group P2_1/m (No. 11); the cell edges are 8.4259, 4.0178 and 8.4434 Å and the angles 90.00°, 108.50° and 90.00°. The asymmetric unit holds La at (0.0672, 0.2500, 0.2449), La at (0.3190, 0.2500, 0.9704), La at (0.3566, 0.7500, 0.6049), Ni at (0.0724, 0.2500, 0.5805) and Pt at (0.3525, 0.7500, 0.2444).

---

The most stable of them is x.

---

w | A relaxed LaYNiPt crystal. Source: Alexandria via LeMat-Bulk, functional PBE.

The value obtained for the volume is 356 Å³ per cell. The calculation puts the total moment at 0.0 μB per cell.

The structure belongs to space group F-43m (No. 216); the cell edges are 7.0873, 7.0873 and 7.0873 Å and the angles 90.00°, 90.00° and 90.00°. The asymmetric unit holds La at (0.0000, 0.0000, 0.0000), Y at (0.0000, 0.0000, 0.5000), Ni at (0.2500, 0.2500, 0.2500) and Pt at (0.2500, 0.2500, 0.7500).

---

x | A relaxed LaYNiPt crystal. Source: Alexandria via LeMat-Bulk, functional PBE.

The value obtained for the volume is 183 Å³ per cell. The calculation puts the total moment at 0.0 μB per cell.

The structure belongs to space group Amm2 (No. 38); the cell edges are 4.4011, 3.8653 and 10.7797 Å and the angles 90.00°, 90.00° and 90.00°. The asymmetric unit holds La at (0.0000, 0.0000, 0.0000), Y at (0.5000, 0.0000, 0.2747), Ni at (0.5000, 0.0000, 0.5593) and Pt at (0.0000, 0.0000, 0.7200).

---

The most stable of them is x.